# LiIn2PbSe4

A geometry-optimized LiIn2PbSe4 structure (PBE, Alexandria).

Values from the calculation:
**Total energy**: -29.75 eV per cell
**Magnetic moment**: 0.0 Bohr magnetons per cell
**Formation energy without anion corrections**: -588 meV per atom

a b c (Å): 6.519 6.519 7.206
angles (deg): 112.29 112.29 99.29
Sites, in units of the cell vectors:
Pb  0.018  0.018  0.035
Li  0.502  0.502  0.004
Se  0.127  0.127  0.719
Se  0.839  0.400  0.239
Se  0.593  0.593  0.719
Se  0.400  0.839  0.239
In  0.761  0.261  0.523
In  0.261  0.761  0.523